Entry 1:
Entry from Alexandria via LeMat-Bulk: crystalline Er3Al9Au2 at its relaxed geometry (GGA-PBE).

Geometry as POSCAR:
```
Er3Al9Au2
1.0
-1.433 1.000 3.891
-7.519 -3.387 0.439
1.226 -6.793 4.534
Er Al Au
3 9 2
direct
0.000 0.000 0.000
0.690 0.310 0.310
0.310 0.690 0.690
0.000 0.500 0.500
0.660 0.965 0.715
0.340 0.035 0.285
0.660 0.715 0.965
0.340 0.285 0.035
0.865 0.856 0.415
0.135 0.144 0.585
0.865 0.415 0.856
0.135 0.585 0.144
0.500 0.292 0.708
0.500 0.708 0.292
```

SG: Immm
energy relative to the elements: -6.97 eV/f.u.
energy: -4.350 eV/atom
total magnetic moment: 0.00 μB/cell


Entry 2:
Entry from Alexandria via LeMat-Bulk: crystalline Er2Al3Au2 at its relaxed geometry (GGA-PBE).

Geometry as POSCAR:
```
Er2Al3Au2
1.0
4.321 0.000 0.000
-2.160 5.235 -0.028
0.000 -2.804 6.220
Er Al Au
2 3 2
direct
0.853 0.705 0.219
0.147 0.295 0.781
0.500 0.000 0.000
0.604 0.208 0.432
0.396 0.792 0.568
0.850 0.700 0.764
0.150 0.300 0.236
```

SG: C2/m
energy relative to the elements: -4.82 eV/f.u.
energy: -4.533 eV/atom
total magnetic moment: 0.00 μB/cell


Entry 3:
Entry from Alexandria via LeMat-Bulk: crystalline Er5Al4Au at its relaxed geometry (GGA-PBE).

Geometry as POSCAR:
```
Er5Al4Au
1.0
-1.793 3.076 0.121
-1.553 -1.025 3.038
13.390 7.436 9.355
Er Al Au
5 4 1
direct
0.500 0.500 0.099
0.500 0.500 0.301
0.500 0.500 0.500
0.500 0.500 0.699
0.500 0.500 0.901
0.000 0.000 0.202
0.000 0.000 0.401
0.000 0.000 0.599
0.000 0.000 0.798
0.000 0.000 0.000
```

SG: P4/mmm
energy relative to the elements: -4.81 eV/f.u.
energy: -4.588 eV/atom
total magnetic moment: 0.00 μB/cell


Entry 4:
Entry from Alexandria via LeMat-Bulk: crystalline ErAl3Au3 at its relaxed geometry (GGA-PBE).

Geometry as POSCAR:
```
ErAl3Au3
1.0
8.068 0.000 0.000
4.034 6.987 0.000
4.034 2.329 5.197
Er Al Au
2 6 6
direct
0.327 0.327 0.020
0.673 0.673 0.980
0.432 0.797 0.652
0.797 0.120 0.652
0.120 0.432 0.652
0.880 0.568 0.348
0.203 0.880 0.348
0.568 0.203 0.348
0.254 0.635 0.176
0.935 0.254 0.176
0.635 0.935 0.176
0.365 0.065 0.824
0.065 0.746 0.824
0.746 0.365 0.824
```

SG: R-3
energy relative to the elements: -3.18 eV/f.u.
energy: -4.115 eV/atom
offset from the most stable computed form: 6.6 kJ per mole of atoms
total magnetic moment: 0.00 μB/cell


Entry 5:
Entry from Alexandria via LeMat-Bulk: crystalline Er2Al3Au5 at its relaxed geometry (GGA-PBE).

Geometry as POSCAR:
```
Er2Al3Au5
1.0
0.267 2.988 -3.294
2.859 -4.850 -4.168
-11.440 -4.797 -2.264
Er Al Au
4 6 10
direct
0.482 0.746 0.964
0.177 0.737 0.354
0.823 0.237 0.646
0.518 0.246 0.036
0.776 0.709 0.552
0.603 0.562 0.205
0.054 0.938 0.108
0.224 0.209 0.448
0.946 0.438 0.892
0.397 0.062 0.795
0.394 0.441 0.788
0.282 0.508 0.565
0.718 0.008 0.435
0.119 0.243 0.238
0.301 0.928 0.601
0.954 0.054 0.907
0.699 0.428 0.399
0.881 0.743 0.762
0.046 0.554 0.093
0.606 0.941 0.212
```

SG: Cmc2_1
energy relative to the elements: -6.51 eV/f.u.
energy: -4.325 eV/atom
total magnetic moment: 0.00 μB/cell


Entry 6:
Entry from Alexandria via LeMat-Bulk: crystalline Er4AlAu at its relaxed geometry (GGA-PBE).

Geometry as POSCAR:
```
Er4AlAu
1.0
6.019 -0.195 0.000
-1.773 8.032 0.000
-2.123 -3.919 6.764
Er Al Au
8 2 2
direct
0.031 0.223 0.854
0.776 0.694 0.633
0.323 0.631 0.854
0.357 0.939 0.633
0.643 0.061 0.367
0.677 0.369 0.146
0.224 0.306 0.367
0.969 0.777 0.146
0.377 0.627 0.255
0.623 0.373 0.745
0.249 0.999 0.997
0.751 0.001 0.003
```

SG: C2/c
energy relative to the elements: -1.97 eV/f.u.
energy: -4.541 eV/atom
total magnetic moment: 0.00 μB/cell


Entry 7:
Entry from Alexandria via LeMat-Bulk: crystalline ErAlAu at its relaxed geometry (GGA-PBE).

Geometry as POSCAR:
```
ErAlAu
1.0
4.190 -0.202 -0.041
0.202 4.190 -0.042
0.074 0.068 7.160
Er Al Au
2 2 2
direct
0.814 0.866 0.578
0.314 0.366 0.261
0.814 0.366 0.920
0.314 0.866 0.920
0.814 0.866 0.161
0.314 0.366 0.678
```

SG: P4/nmm
energy relative to the elements: -2.23 eV/f.u.
energy: -4.606 eV/atom
total magnetic moment: 0.00 μB/cell


Entry 8:
Entry from Alexandria via LeMat-Bulk: crystalline Er3Al2Au at its relaxed geometry (GGA-PBE).

Geometry as POSCAR:
```
Er3Al2Au
1.0
-2.276 2.670 -0.720
-0.136 -1.040 -3.425
-8.224 -6.398 2.270
Er Al Au
3 2 1
direct
0.000 0.000 0.000
0.000 0.000 0.664
0.000 0.000 0.336
0.500 0.500 0.835
0.500 0.500 0.165
0.500 0.500 0.500
```

SG: P4/mmm
energy relative to the elements: -3.24 eV/f.u.
energy: -4.616 eV/atom
total magnetic moment: 0.00 μB/cell